[1]
A relaxed structure of CaLa5Pr2. Source: the Alexandria database, functional PBE.

Output
Spin magnetization = 0.0 μB per cell
ΔE_f = 0.027 eV per atom
Total DFT energy (no corrections) = -4.50 eV per atom

Unit cell a=9.2419 b=9.2419 c=9.2419 alpha=156.70 beta=102.25 gamma=82.49
Fractional positions:
Ca  0.0000  0.0000  0.0000
La  0.1368  0.3681  0.7687
La  0.4006  0.6319  0.7687
La  0.5000  0.0000  0.5000
La  0.5994  0.3681  0.2313
La  0.8632  0.6319  0.2313
Pr  0.2459  0.7459  0.5000
Pr  0.7541  0.2541  0.5000


[2]
A relaxed structure of PmGaNi. Source: the Alexandria database, functional PBE.

Output
Spin magnetization = 0.0 μB per cell
Energy above the lowest structure with this stoichiometry = 0.72 eV/f.u.
ΔE_f = -0.340 eV per atom
Total DFT energy (no corrections) = -4.86 eV per atom

Unit cell a=5.8170 b=5.8170 c=5.8170 alpha=147.45 beta=147.45 gamma=46.70
Fractional positions:
Pm  0.0000  0.0000  0.0000
Ga  0.2896  0.2896  0.0000
Ni  0.6923  0.6923  0.0000


[3]
A relaxed structure of TaMn2NiHg. Source: the Alexandria database, functional PBE.

Output
Spin magnetization = 5.1 μB per cell
ΔE_f = 1.605 eV per atom
Total DFT energy (no corrections) = -5.65 eV per atom

Unit cell a=4.5769 b=4.5769 c=5.3323 alpha=90.00 beta=90.00 gamma=90.00
Fractional positions:
Ta  0.0000  0.0000  0.0000
Mn  0.0000  0.5000  0.0000
Mn  0.5000  0.0000  0.0000
Ni  0.5000  0.5000  0.5000
Hg  0.0000  0.0000  0.5000


[4]
A relaxed structure of Pu3SnO2. Source: the Alexandria database, functional PBE.

Output
Spin magnetization = 10.8 μB per cell
ΔE_f (raw) = -1.678 eV/atom
Total DFT energy (no corrections) = -11.16 eV per atom

Unit cell a=7.0439 b=7.0439 c=5.5555 alpha=90.00 beta=90.00 gamma=101.28
Fractional positions:
Pu  0.1080  0.8920  0.7500
Pu  0.1925  0.4157  0.7500
Pu  0.4157  0.1925  0.2500
Pu  0.5843  0.8075  0.7500
Pu  0.8075  0.5843  0.2500
Pu  0.8920  0.1080  0.2500
Sn  0.3134  0.6866  0.2500
Sn  0.6866  0.3134  0.7500
O  0.1634  0.1634  0.0000
O  0.1634  0.1634  0.5000
O  0.8366  0.8366  0.0000
O  0.8366  0.8366  0.5000


[5]
A relaxed structure of V2OsRu2. Source: the Alexandria database, functional PBE.

Output
Spin magnetization = 0.0 μB per cell
Energy above the lowest structure with this stoichiometry = 0.04 eV/f.u.
ΔE_f = 0.080 eV per atom
Total DFT energy (no corrections) = -9.52 eV per atom

Unit cell a=7.0648 b=7.0648 c=2.8362 alpha=90.00 beta=90.00 gamma=90.00
Fractional positions:
V  0.1674  0.3326  0.0000
V  0.3326  0.8326  0.0000
V  0.6674  0.1674  0.0000
V  0.8326  0.6674  0.0000
Os  0.0000  0.0000  0.5000
Os  0.5000  0.5000  0.5000
Ru  0.1341  0.6341  0.5000
Ru  0.3659  0.1341  0.5000
Ru  0.6341  0.8659  0.5000
Ru  0.8659  0.3659  0.5000


[6]
A relaxed structure of Tl2BiF5. Source: the Alexandria database, functional PBE.

Output
Spin magnetization = 0.0 μB per cell
ΔE_f (raw) = -2.135 eV/atom
Energy above the lowest structure with this stoichiometry = 0.04 eV/f.u.
Total DFT energy (no corrections) = -4.38 eV per atom

Unit cell a=4.6114 b=6.4216 c=7.0313 alpha=64.80 beta=71.09 gamma=88.76
Fractional positions:
Tl  0.0000  0.0000  0.0000
Tl  0.3410  0.3375  0.3309
Bi  0.6703  0.6682  0.6651
F  0.1703  0.6675  0.6645
F  0.5294  0.7641  0.9553
F  0.5364  0.2965  0.9404
F  0.8039  0.0403  0.3918
F  0.8134  0.5739  0.3735


Question: total DFT energy (no corrections) of number 4 (Pu3SnO2)?
Answer: -11.16 eV per atom


Question: Among the records above, which one has the highest total DFT energy (no corrections)?
Answer: Tl2BiF5


Question: Among the records above, which one has the highest spin magnetization?
Answer: Pu3SnO2